[1]
DFT (GGA-PBE) results for a relaxed NaBPd3 crystal.

Unit cell a=7.7775 b=7.7775 c=5.2776 alpha=91.54 beta=91.54 gamma=101.39
Fractional positions:
Na  0.0619  0.2052  0.0708
Na  0.2052  0.0619  0.5708
Na  0.7948  0.9381  0.4292
Na  0.9381  0.7948  0.9292
B  0.2940  0.7060  0.2500
B  0.4329  0.5671  0.7500
B  0.5671  0.4329  0.2500
B  0.7060  0.2940  0.7500
Pd  0.0565  0.6665  0.4132
Pd  0.1891  0.5659  0.9074
Pd  0.3162  0.4471  0.4061
Pd  0.3335  0.9435  0.0868
Pd  0.4341  0.8109  0.5926
Pd  0.4471  0.3162  0.9061
Pd  0.5529  0.6838  0.0939
Pd  0.5659  0.1891  0.4074
Pd  0.6665  0.0565  0.9132
Pd  0.6838  0.5529  0.5939
Pd  0.8109  0.4341  0.0926
Pd  0.9435  0.3335  0.5868

Summary:
SG = C2/c, No. 15
energy of formation from the pure elements = -0.19 eV per atom
density = 7.500 g/cm³


[2]
DFT (GGA-PBE) results for a relaxed NaB3Pd crystal.

Unit cell a=4.1482 b=4.1482 c=4.1482 alpha=90.00 beta=90.00 gamma=90.00
Fractional positions:
Na  0.0000  0.0000  0.0000
B  0.0000  0.5000  0.5000
B  0.5000  0.0000  0.5000
B  0.5000  0.5000  0.0000
Pd  0.5000  0.5000  0.5000

Summary:
SG = Pm-3m, No. 221
energy of formation from the pure elements = 1.24 eV per atom
density = 3.765 g/cm³
E above lowest polymorph = 0 meV/atom


[3]
DFT (GGA-PBE) results for a relaxed NaBPd3 crystal.

Unit cell a=5.4008 b=5.4008 c=5.4008 alpha=86.12 beta=86.12 gamma=86.12
Fractional positions:
Na  0.0000  0.0000  0.0000
Na  0.5000  0.5000  0.5000
B  0.2500  0.2500  0.2500
B  0.7500  0.7500  0.7500
Pd  0.0171  0.7500  0.4829
Pd  0.2500  0.5171  0.9829
Pd  0.4829  0.0171  0.7500
Pd  0.5171  0.9829  0.2500
Pd  0.7500  0.4829  0.0171
Pd  0.9829  0.2500  0.5171

Summary:
SG = R-3c, No. 167
energy of formation from the pure elements = 0.07 eV per atom
density = 7.492 g/cm³


[4]
DFT (GGA-PBE) results for a relaxed NaBPd3 crystal.

Unit cell a=7.2104 b=7.2104 c=7.2104 alpha=117.47 beta=117.47 gamma=94.44
Fractional positions:
Na  0.0000  0.0000  0.0000
Na  0.7500  0.2500  0.5000
B  0.4163  0.4163  0.0000
B  0.5837  0.5837  0.0000
Pd  0.0052  0.5052  0.5000
Pd  0.0951  0.2730  0.8221
Pd  0.4509  0.2730  0.1779
Pd  0.4948  0.9948  0.5000
Pd  0.7270  0.5491  0.8221
Pd  0.7270  0.9049  0.1779

Summary:
SG = I-4m2, No. 119
energy of formation from the pure elements = 1.05 eV per atom
density = 4.275 g/cm³


[5]
DFT (GGA-PBE) results for a relaxed NaBPd3 crystal.

Unit cell a=6.1684 b=6.1684 c=6.1684 alpha=55.53 beta=55.53 gamma=55.53
Fractional positions:
Na  0.0878  0.0878  0.0878
Na  0.9122  0.9122  0.9122
B  0.3302  0.3302  0.3302
B  0.6698  0.6698  0.6698
Pd  0.0954  0.5862  0.5862
Pd  0.4138  0.4138  0.9046
Pd  0.4138  0.9046  0.4138
Pd  0.5862  0.0954  0.5862
Pd  0.5862  0.5862  0.0954
Pd  0.9046  0.4138  0.4138

Summary:
SG = R-3m, No. 166
energy of formation from the pure elements = -0.29 eV per atom
density = 7.882 g/cm³


[6]
DFT (GGA-PBE) results for a relaxed NaBPd3 crystal.

Unit cell a=4.2238 b=4.2238 c=4.2238 alpha=90.00 beta=90.00 gamma=90.00
Fractional positions:
Na  0.0000  0.0000  0.0000
B  0.5000  0.5000  0.5000
Pd  0.0000  0.5000  0.5000
Pd  0.5000  0.0000  0.5000
Pd  0.5000  0.5000  0.0000

Summary:
SG = Pm-3m, No. 221
energy of formation from the pure elements = -0.28 eV per atom
density = 7.780 g/cm³


[7]
DFT (GGA-PBE) results for a relaxed NaBPd3 crystal.

Unit cell a=3.8130 b=3.8130 c=7.2000 alpha=90.00 beta=90.00 gamma=90.00
Fractional positions:
Na  0.0000  0.0000  0.0000
B  0.5000  0.5000  0.4528
Pd  0.0000  0.0000  0.6074
Pd  0.0000  0.5000  0.3295
Pd  0.5000  0.0000  0.3295

Summary:
SG = P4mm, No. 99
energy of formation from the pure elements = 0.26 eV per atom
density = 5.600 g/cm³


[8]
DFT (GGA-PBE) results for a relaxed NaBPd3 crystal.

Unit cell a=4.3012 b=4.3012 c=8.6503 alpha=90.00 beta=90.00 gamma=120.00
Fractional positions:
Na  0.3333  0.6667  0.2500
Na  0.6667  0.3333  0.7500
B  0.0000  0.0000  0.0000
B  0.0000  0.0000  0.5000
Pd  0.0000  0.0000  0.2500
Pd  0.0000  0.0000  0.7500
Pd  0.3333  0.6667  0.5701
Pd  0.3333  0.6667  0.9299
Pd  0.6667  0.3333  0.0701
Pd  0.6667  0.3333  0.4299

Summary:
SG = P6_3/mmc, No. 194
energy of formation from the pure elements = 0.06 eV per atom
density = 8.460 g/cm³


[9]
DFT (GGA-PBE) results for a relaxed Na3BPd crystal.

Unit cell a=4.9766 b=4.9766 c=4.9766 alpha=90.00 beta=90.00 gamma=90.00
Fractional positions:
Na  0.0000  0.0000  0.5000
Na  0.0000  0.5000  0.0000
Na  0.5000  0.0000  0.0000
B  0.0000  0.0000  0.0000
Pd  0.5000  0.5000  0.5000

Summary:
SG = Pm-3m, No. 221
energy of formation from the pure elements = 0.92 eV per atom
density = 2.509 g/cm³
E above lowest polymorph = 0 meV/atom


[10]
DFT (GGA-PBE) results for a relaxed NaBPd3 crystal.

Unit cell a=5.0574 b=5.2956 c=7.5381 alpha=90.00 beta=109.46 gamma=90.00
Fractional positions:
Na  0.1050  0.2500  0.2088
Na  0.8950  0.7500  0.7912
B  0.3950  0.2500  0.7904
B  0.6050  0.7500  0.2096
Pd  0.2923  0.5025  0.5851
Pd  0.2923  0.9975  0.5851
Pd  0.4661  0.7500  0.9338
Pd  0.5339  0.2500  0.0662
Pd  0.7077  0.0025  0.4149
Pd  0.7077  0.4975  0.4149

Summary:
SG = P2_1/m, No. 11
energy of formation from the pure elements = 0.10 eV per atom
density = 6.160 g/cm³


[11]
DFT (GGA-PBE) results for a relaxed NaB2Pd crystal.

Unit cell a=8.3609 b=8.3609 c=8.3609 alpha=154.61 beta=154.61 gamma=36.21
Fractional positions:
Na  0.3750  0.6250  0.7500
Na  0.6250  0.3750  0.2500
B  0.0000  0.0000  0.0000
B  0.0000  0.0000  0.5000
B  0.0000  0.5000  0.0000
B  0.5000  0.0000  0.5000
Pd  0.1250  0.8750  0.2500
Pd  0.8750  0.1250  0.7500

Summary:
SG = I4_1/amd, No. 141
energy of formation from the pure elements = 0.42 eV per atom
density = 4.674 g/cm³
E above lowest polymorph = 0 meV/atom


[12]
DFT (GGA-PBE) results for a relaxed NaBPd3 crystal.

Unit cell a=7.8886 b=7.8886 c=5.5600 alpha=101.24 beta=101.24 gamma=69.99
Fractional positions:
Na  0.0603  0.9397  0.7500
Na  0.2775  0.7225  0.2500
Na  0.7225  0.2775  0.7500
Na  0.9397  0.0603  0.2500
B  0.1831  0.4436  0.8550
B  0.4436  0.1831  0.3550
B  0.5564  0.8169  0.6450
B  0.8169  0.5564  0.1450
Pd  0.0153  0.3398  0.5747
Pd  0.0741  0.3409  0.0987
Pd  0.3398  0.0153  0.0747
Pd  0.3409  0.0741  0.5987
Pd  0.3442  0.4391  0.5892
Pd  0.4391  0.3442  0.0892
Pd  0.5609  0.6558  0.9108
Pd  0.6558  0.5609  0.4108
Pd  0.6591  0.9259  0.4013
Pd  0.6602  0.9847  0.9253
Pd  0.9259  0.6591  0.9013
Pd  0.9847  0.6602  0.4253

Summary:
SG = C2/c, No. 15
energy of formation from the pure elements = -0.07 eV per atom
density = 7.426 g/cm³


[13]
DFT (GGA-PBE) results for a relaxed Na2BPd2 crystal.

Unit cell a=8.2560 b=8.2560 c=8.2560 alpha=154.60 beta=154.60 gamma=36.23
Fractional positions:
Na  0.0965  0.0965  0.0000
Na  0.9035  0.9035  0.0000
B  0.5000  0.5000  0.0000
Pd  0.2500  0.7500  0.5000
Pd  0.7500  0.2500  0.5000

Summary:
SG = I4/mmm, No. 139
energy of formation from the pure elements = 0.86 eV per atom
density = 4.329 g/cm³
E above lowest polymorph = 1035 meV/atom


[14]
DFT (GGA-PBE) results for a relaxed NaBPd3 crystal.

Unit cell a=5.9903 b=5.9903 c=5.2488 alpha=90.00 beta=90.00 gamma=124.91
Fractional positions:
Na  0.0641  0.9359  0.7500
Na  0.9359  0.0641  0.2500
B  0.3384  0.6616  0.2500
B  0.6616  0.3384  0.7500
Pd  0.0537  0.4515  0.7500
Pd  0.4515  0.0537  0.2500
Pd  0.5000  0.5000  0.0000
Pd  0.5000  0.5000  0.5000
Pd  0.5485  0.9463  0.7500
Pd  0.9463  0.5485  0.2500

Summary:
SG = Cmcm, No. 63
energy of formation from the pure elements = -0.11 eV per atom
density = 7.591 g/cm³


[15]
DFT (GGA-PBE) results for a relaxed NaBPd3 crystal.

Unit cell a=6.1552 b=6.1552 c=6.1552 alpha=128.00 beta=109.72 gamma=92.69
Fractional positions:
Na  0.0000  0.0000  0.0000
Na  0.5000  0.0000  0.5000
B  0.2945  0.5445  0.7500
B  0.7055  0.4555  0.2500
Pd  0.0868  0.6501  0.4367
Pd  0.2866  0.3499  0.9367
Pd  0.5000  0.0000  0.0000
Pd  0.5000  0.5000  0.5000
Pd  0.7134  0.6501  0.0633
Pd  0.9132  0.3499  0.5633

Summary:
SG = Imma, No. 74
energy of formation from the pure elements = -0.10 eV per atom
density = 7.217 g/cm³


[16]
DFT (GGA-PBE) results for a relaxed NaBPd4 crystal.

Unit cell a=7.4640 b=7.4640 c=4.9099 alpha=109.18 beta=109.18 gamma=44.56
Fractional positions:
Na  0.1957  0.1957  0.1954
Na  0.8043  0.8043  0.8046
B  0.5003  0.5003  0.3143
B  0.4997  0.4997  0.6857
Pd  0.1356  0.6419  0.3885
Pd  0.2459  0.7541  0.0000
Pd  0.3124  0.3124  0.8114
Pd  0.3581  0.8644  0.6115
Pd  0.6419  0.1356  0.3885
Pd  0.6876  0.6876  0.1886
Pd  0.7541  0.2459  0.0000
Pd  0.8644  0.3581  0.6115

Summary:
SG = C2/m, No. 12
energy of formation from the pure elements = -0.11 eV per atom
density = 8.505 g/cm³


[17]
DFT (GGA-PBE) results for a relaxed NaBPdPt2 crystal.

Unit cell a=4.1894 b=4.1894 c=4.3213 alpha=90.00 beta=90.00 gamma=90.00
Fractional positions:
Na  0.0000  0.0000  0.0000
B  0.5000  0.5000  0.5000
Pd  0.5000  0.5000  0.0000
Pt  0.0000  0.5000  0.5000
Pt  0.5000  0.0000  0.5000

Summary:
SG = P4/mmm, No. 123
energy of formation from the pure elements = -0.32 eV per atom
density = 11.612 g/cm³


[18]
DFT (GGA-PBE) results for a relaxed Na2B2Pd5Pt crystal.

Unit cell a=10.2117 b=10.2117 c=2.8166 alpha=90.00 beta=90.00 gamma=90.00
Fractional positions:
Na  0.1818  0.3182  0.0000
Na  0.3182  0.8182  0.0000
Na  0.6818  0.1818  0.0000
Na  0.8182  0.6818  0.0000
B  0.1235  0.6235  0.0000
B  0.3765  0.1235  0.0000
B  0.6235  0.8765  0.0000
B  0.8765  0.3765  0.0000
Pd  0.0000  0.5000  0.5000
Pd  0.0640  0.7711  0.5000
Pd  0.2289  0.0640  0.5000
Pd  0.2711  0.5640  0.5000
Pd  0.4360  0.2711  0.5000
Pd  0.5000  0.0000  0.5000
Pd  0.5640  0.7289  0.5000
Pd  0.7289  0.4360  0.5000
Pd  0.7711  0.9360  0.5000
Pd  0.9360  0.2289  0.5000
Pt  0.0000  0.0000  0.0000
Pt  0.5000  0.5000  0.0000

Summary:
SG = P4/mbm, No. 127
energy of formation from the pure elements = -0.25 eV per atom
density = 8.987 g/cm³


[19]
DFT (GGA-PBE) results for a relaxed Na2ReBPd crystal.

Unit cell a=5.1317 b=5.1317 c=4.8732 alpha=90.00 beta=90.00 gamma=90.00
Fractional positions:
Na  0.0000  0.5000  0.0000
Na  0.5000  0.0000  0.0000
Re  0.0000  0.0000  0.5000
B  0.5000  0.5000  0.5000
Pd  0.0000  0.0000  0.0000

Summary:
SG = P4/mmm, No. 123
energy of formation from the pure elements = 1.93 eV per atom
density = 4.521 g/cm³


[20]
DFT (GGA-PBE) results for a relaxed NaBPd2Rh crystal.

Unit cell a=4.2495 b=4.2495 c=4.1244 alpha=90.00 beta=90.00 gamma=90.00
Fractional positions:
Na  0.0000  0.0000  0.0000
B  0.5000  0.5000  0.5000
Pd  0.0000  0.5000  0.5000
Pd  0.5000  0.0000  0.5000
Rh  0.5000  0.5000  0.0000

Summary:
SG = P4/mmm, No. 123
energy of formation from the pure elements = -0.15 eV per atom
density = 7.793 g/cm³


[21]
DFT (GGA-PBE) results for a relaxed NaBPdRh2 crystal.

Unit cell a=4.1472 b=4.1472 c=4.2507 alpha=90.00 beta=90.00 gamma=90.00
Fractional positions:
Na  0.0000  0.0000  0.0000
B  0.5000  0.5000  0.5000
Pd  0.5000  0.5000  0.0000
Rh  0.0000  0.5000  0.5000
Rh  0.5000  0.0000  0.5000

Summary:
SG = P4/mmm, No. 123
energy of formation from the pure elements = -0.04 eV per atom
density = 7.859 g/cm³


[22]
DFT (GGA-PBE) results for a relaxed Na3SnB2Pd9 crystal.

Unit cell a=5.8492 b=5.8492 c=9.0284 alpha=90.00 beta=90.00 gamma=120.00
Fractional positions:
Na  0.0000  0.0000  0.0000
Na  0.3333  0.6667  0.6246
Na  0.6667  0.3333  0.3754
Sn  0.0000  0.0000  0.5000
B  0.3333  0.6667  0.1452
B  0.6667  0.3333  0.8548
Pd  0.0000  0.5000  0.0000
Pd  0.1611  0.3222  0.2641
Pd  0.1611  0.8389  0.2641
Pd  0.3222  0.1611  0.7359
Pd  0.5000  0.0000  0.0000
Pd  0.5000  0.5000  0.0000
Pd  0.6778  0.8389  0.2641
Pd  0.8389  0.1611  0.7359
Pd  0.8389  0.6778  0.7359

Summary:
SG = P-3m1, No. 164
energy of formation from the pure elements = -0.25 eV per atom
density = 7.245 g/cm³